GeRuWO2 PBE+U relaxed; ρ = 7.77 g/cm³; space group = P4/mmm, No. 123; Fermi-level density of states = 2.265 states/eV per cell; total magnetization = 0.279 μB per atom; E = -6.1693 eV/atom
1.0
-0.352 -2.311 -2.868
4.803 -3.170 1.966
-2.242 -2.151 2.008
O Ru W Ge
2 1 1 1
Cartesian
-0.176 -1.156 -1.434
-1.121 -1.076 1.004
0.000 0.000 0.000
2.401 -1.585 0.983
1.105 -3.816 0.553